Density functional theory data (SCAN) for PC2 at its PBEsol-relaxed geometry.

Summary:
DFT formation energy: 559.2 kJ/mol of formula units
SG: P-3m1 (164)

Cell: 2.8434 2.8434 3.4333 Å, 90.00 90.00 120.00°
With the nearest neighbours (Å) after each atom.
Fractional coordinates of all 3 atoms:
C 0.3333 0.6667 0.3029  3 P 1.94, 3 C 2.13
C 0.6667 0.3333 0.6971  3 P 1.94, 3 C 2.13
P 0.0000 0.0000 0.0000  6 C 1.94


Density functional theory data (SCAN) for PPdPtC2 at its PBEsol-relaxed geometry.

Summary:
DFT formation energy: 767.9 kJ/mol of formula units
SG: P4/mmm (123)

Cell: 3.7716 3.7716 5.4070 Å, 90.00 90.00 90.00°
With the nearest neighbours (Å) after each atom.
Fractional coordinates of all 5 atoms:
C 0.0000 0.5000 0.0000  2 Pt 1.89
C 0.5000 0.0000 0.0000  2 Pt 1.89
Pd 0.5000 0.5000 0.5000  4 P 2.67
Pt 0.0000 0.0000 0.0000  4 C 1.89
P 0.0000 0.0000 0.5000  4 Pd 2.67, 2 Pt 2.70


Density functional theory data (SCAN) for P2PdCS at its PBEsol-relaxed geometry.

Summary:
Formation energy (no corrections): 2.10 eV/atom
SG: P4/mmm (123)

Cell: 4.5091 4.5091 4.7404 Å, 90.00 90.00 90.00°
With the nearest neighbours (Å) after each atom.
Fractional coordinates of all 5 atoms:
P 0.0000 0.5000 0.0000  2 Pd 2.25
P 0.5000 0.0000 0.0000  2 Pd 2.25
C 0.5000 0.5000 0.5000  4 S 3.19, 8 P 3.27
Pd 0.0000 0.0000 0.0000  4 P 2.25, 2 S 2.37
S 0.0000 0.0000 0.5000  2 Pd 2.37


Density functional theory data (SCAN) for Rb3PC at its PBEsol-relaxed geometry.

Summary:
DFT formation energy: 481.8 kJ/mol of formula units
SG: Pm-3m (221)

Cell: 6.3296 6.3296 6.3296 Å, 90.00 90.00 90.00°
With the nearest neighbours (Å) after each atom.
Fractional coordinates of all 5 atoms:
Rb 0.0000 0.0000 0.5000  2 P 3.16
Rb 0.0000 0.5000 0.0000  2 P 3.16
Rb 0.5000 0.0000 0.0000  2 P 3.16
C 0.5000 0.5000 0.5000  12 Rb 4.48
P 0.0000 0.0000 0.0000  6 Rb 3.16


Density functional theory data (SCAN) for Re2PC at its PBEsol-relaxed geometry.

Summary:
DFT formation energy: 237.5 kJ/mol of formula units
SG: I-42d (122)

Cell: 5.0641 5.0641 5.8598 Å, 115.60 115.60 90.00°
With the nearest neighbours (Å) after each atom.
Fractional coordinates of all 8 atoms:
P 0.0000 0.0000 0.0000  4 Re 2.29
P 0.2500 0.7500 0.5000  4 Re 2.29
C 0.5000 0.5000 0.0000  4 Re 1.99
C 0.7500 0.2500 0.5000  4 Re 1.99
Re 0.6250 0.5752 0.7500  2 C 1.99
Re 0.8252 0.3750 0.2500  2 C 1.99
Re 0.1250 0.1748 0.7500  2 C 1.99
Re 0.4248 0.8750 0.2500  2 C 1.99


Density functional theory data (SCAN) for RePC2 at its PBEsol-relaxed geometry.

Summary:
DFT formation energy: 257.1 kJ/mol of formula units
SG: I-42d (122)

Cell: 4.6149 5.1773 4.6149 Å, 63.53 90.00 116.47°
With the nearest neighbours (Å) after each atom.
Fractional coordinates of all 8 atoms:
C 0.3750 0.2500 0.1753  2 P 1.79
C 0.8750 0.2500 0.5747  2 P 1.79
C 0.1753 0.7500 0.8750  2 P 1.79
C 0.5747 0.7500 0.3750  2 P 1.79
P 0.5000 0.0000 0.5000  4 C 1.79
P 0.2500 0.5000 0.2500  4 C 1.79
Re 0.7500 0.5000 0.7500  4 C 2.06
Re 0.0000 0.0000 0.0000  4 C 2.06


Density functional theory data (SCAN) for ReP2RuC at its PBEsol-relaxed geometry.

Summary:
DFT formation energy: 586.8 kJ/mol of formula units
SG: P4/mmm (123)

Cell: 3.7580 4.0520 4.0520 Å, 90.00 90.00 90.00°
With the nearest neighbours (Å) after each atom.
Fractional coordinates of all 5 atoms:
Ru 0.5000 0.0000 0.0000  2 C 1.88
P 0.0000 0.5000 0.0000  2 C 2.03
P 0.0000 0.0000 0.5000  2 C 2.03
C 0.0000 0.0000 0.0000  2 Ru 1.88, 4 P 2.03
Re 0.5000 0.5000 0.5000  8 P 2.76, 4 Ru 2.87


Density functional theory data (SCAN) for PRh3C at its PBEsol-relaxed geometry.

Summary:
DFT formation energy: 691.8 kJ/mol of formula units
SG: Pm-3m (221)

Cell: 4.2792 4.2792 4.2792 Å, 90.00 90.00 90.00°
With the nearest neighbours (Å) after each atom.
Fractional coordinates of all 5 atoms:
Rh 0.5000 0.0000 0.0000  2 P 2.14
Rh 0.0000 0.0000 0.5000  2 P 2.14
Rh 0.0000 0.5000 0.0000  2 P 2.14
P 0.0000 0.0000 0.0000  6 Rh 2.14
C 0.5000 0.5000 0.5000  12 Rh 3.03